This record from Alexandria describes a relaxed structure of CdBSbMo2. The functional is PBE.

Computed properties:
- D(E_F) (states/eV per cell) = 4.895
- uncorrected formation energy (eV/f.u.) = 2.765

Cell lengths 4.400, 4.345, 4.400 Å; angles 90.00, 90.00, 90.00 degrees
Element x y z (fractional)
Sb1 0.500 0.500 0.500
Mo1 0.500 0.000 0.000
Mo2 0.000 0.000 0.500
B1 0.000 0.000 0.000
Cd1 0.000 0.500 0.000

=====

This record from Alexandria describes a relaxed structure of Li2ErAg. The functional is PBE.

Computed properties:
- E above lowest polymorph (meV per atom) = 37
- energy relative to the elements (eV per atom) = -0.004
- D(E_F) (states/eV per cell) = 3.504

Cell lengths 5.110, 4.131, 4.131 Å; angles 90.00, 90.00, 90.00 degrees
Element x y z (fractional)
Ag1 0.500 0.500 0.500
Li1 0.000 0.000 0.500
Li2 0.000 0.500 0.000
Er1 0.500 0.000 0.000

=====

This record from Alexandria describes a relaxed structure of Tm2SnRh6. The functional is PBE.

Computed properties:
- energy relative to the elements (eV per atom) = -0.282
- D(E_F) (states/eV per cell) = 8.739

Cell lengths 3.046, 7.919, 7.990 Å; angles 119.71, 100.93, 90.00 degrees
Element x y z (fractional)
Tm1 0.341 0.340 0.679
Tm2 0.659 0.660 0.321
Rh1 0.168 0.375 0.338
Rh2 0.832 0.625 0.662
Rh3 0.500 0.724 0.000
Rh4 0.168 0.963 0.338
Rh5 0.832 0.037 0.662
Rh6 0.500 0.276 0.000
Sn1 0.000 0.000 0.000

=====

This record from Alexandria describes a relaxed structure of TlGaTe. The functional is PBE.

Computed properties:
- E above lowest polymorph (meV per atom) = 64
- D(E_F) (states/eV per cell) = 2.548
- uncorrected formation energy (eV/f.u.) = -0.398

Cell lengths 5.333, 4.198, 11.980 Å; angles 99.49, 77.14, 50.57 degrees
Element x y z (fractional)
Ga1 0.103 0.260 0.534
Ga2 0.836 0.554 0.773
Te1 0.803 0.943 0.451
Te2 0.136 0.871 0.856
Tl1 0.629 0.492 0.250
Tl2 0.311 0.322 0.057

=====

This record from Alexandria describes a relaxed structure of NbHSe3. The functional is PBE.

Computed properties:
- E above lowest polymorph (meV per atom) = 912
- D(E_F) (states/eV per cell) = 6.388

Cell lengths 4.311, 4.311, 4.311 Å; angles 90.00, 90.00, 90.00 degrees
Element x y z (fractional)
Se1 0.500 0.000 0.000
Se2 0.000 0.500 0.000
Se3 0.000 0.000 0.500
H1 0.000 0.000 0.000
Nb1 0.500 0.500 0.500

=====

This record from Alexandria describes a relaxed structure of Ag5Hg4P8Cl5. The functional is PBE.

Computed properties:
- uncorrected formation energy (eV/f.u.) = -5.501

Cell lengths 9.189, 9.189, 6.353 Å; angles 79.20, 79.20, 74.63 degrees
Element x y z (fractional)
Ag1 0.208 0.208 0.056
Ag2 0.500 0.500 0.000
Ag3 0.854 0.146 0.000
Ag4 0.146 0.854 0.000
Ag5 0.792 0.792 0.944
P1 0.098 0.797 0.400
P2 0.759 0.759 0.340
P3 0.902 0.203 0.600
P4 0.142 0.142 0.446
P5 0.858 0.858 0.554
P6 0.203 0.902 0.600
P7 0.241 0.241 0.660
P8 0.797 0.098 0.400
Cl1 0.474 0.803 0.974
Cl2 0.526 0.197 0.026
Cl3 0.197 0.526 0.026
Cl4 0.803 0.474 0.974
Cl5 0.500 0.500 0.500
Hg1 0.518 0.175 0.531
Hg2 0.482 0.825 0.469
Hg3 0.175 0.518 0.531
Hg4 0.825 0.482 0.469

=====

This record from Alexandria describes a relaxed structure of La2Tb6Nd3Sc. The functional is PBE.

Computed properties:
- energy relative to the elements (eV per atom) = 0.026
- D(E_F) (states/eV per cell) = 15.704

Cell lengths 6.232, 6.232, 11.911 Å; angles 95.00, 95.00, 120.00 degrees
Element x y z (fractional)
Sc1 0.000 0.000 0.000
Nd1 0.500 0.500 0.500
Nd2 0.167 0.833 0.500
Nd3 0.833 0.167 0.500
Tb1 0.412 0.082 0.249
Tb2 0.753 0.753 0.249
Tb3 0.247 0.247 0.751
Tb4 0.082 0.412 0.249
Tb5 0.918 0.588 0.751
Tb6 0.588 0.918 0.751
La1 0.666 0.334 0.000
La2 0.334 0.666 0.000

=====

This record from Alexandria describes a relaxed structure of BaMg2Hg4. The functional is PBE.

Computed properties:
- energy relative to the elements (eV per atom) = -0.326
- D(E_F) (states/eV per cell) = 3.713

Cell lengths 6.116, 6.258, 6.258 Å; angles 76.18, 60.74, 60.74 degrees
Element x y z (fractional)
Hg1 0.694 0.612 0.000
Hg2 0.306 0.000 0.388
Hg3 0.694 0.000 0.612
Hg4 0.306 0.388 0.000
Ba1 0.000 0.000 0.000
Mg1 0.250 0.500 0.500
Mg2 0.750 0.500 0.500

=====

This record from Alexandria describes a relaxed structure of Zr12TlZn6. The functional is PBE.

Computed properties:
- energy relative to the elements (eV per atom) = -0.043
- D(E_F) (states/eV per cell) = 21.232

Cell lengths 8.018, 8.018, 8.018 Å; angles 109.47, 109.47, 109.47 degrees
Element x y z (fractional)
Zr1 0.726 0.539 0.813
Zr2 0.913 0.187 0.726
Zr3 0.187 0.274 0.461
Zr4 0.087 0.813 0.274
Zr5 0.539 0.813 0.726
Zr6 0.274 0.461 0.187
Zr7 0.274 0.087 0.813
Zr8 0.461 0.187 0.274
Zr9 0.813 0.726 0.539
Zr10 0.813 0.274 0.087
Zr11 0.187 0.726 0.913
Zr12 0.726 0.913 0.187
Zn1 0.869 0.369 0.500
Zn2 0.369 0.500 0.869
Zn3 0.500 0.869 0.369
Zn4 0.500 0.131 0.631
Zn5 0.131 0.631 0.500
Zn6 0.631 0.500 0.131
Tl1 0.000 0.000 0.000

=====

This record from Alexandria describes a relaxed structure of CaHfAg3. The functional is PBE.

Computed properties:
- E above lowest polymorph (meV per atom) = 0
- energy relative to the elements (eV per atom) = 0.574
- D(E_F) (states/eV per cell) = 3.786

Cell lengths 5.250, 5.250, 5.250 Å; angles 90.00, 90.00, 90.00 degrees
Element x y z (fractional)
Ag1 0.000 0.000 0.500
Ag2 0.500 0.000 0.000
Ag3 0.000 0.500 0.000
Hf1 0.000 0.000 0.000
Ca1 0.500 0.500 0.500

=====

This record from Alexandria describes a relaxed structure of NdPu2Rh. The functional is PBE.

Computed properties:
- E above lowest polymorph (meV per atom) = 227
- energy relative to the elements (eV per atom) = 0.098
- D(E_F) (states/eV per cell) = 16.718

Cell lengths 3.570, 3.570, 10.388 Å; angles 80.11, 80.11, 60.00 degrees
Element x y z (fractional)
Pu1 0.895 0.895 0.316
Pu2 0.105 0.105 0.684
Nd1 0.000 0.000 0.000
Rh1 0.500 0.500 0.500

=====

This record from Alexandria describes a relaxed structure of MnAlIrS2. The functional is PBE.

Computed properties:
- D(E_F) (states/eV per cell) = 6.255
- uncorrected formation energy (eV/f.u.) = 3.768

Cell lengths 4.199, 4.689, 4.199 Å; angles 90.00, 90.00, 90.00 degrees
Element x y z (fractional)
Ir1 0.500 0.500 0.500
Mn1 0.000 0.000 0.000
S1 0.000 0.000 0.500
S2 0.500 0.000 0.000
Al1 0.000 0.500 0.000

=====

no.,magnetization (Bohr magnetons per cell),final energy (eV/atom)
1,0.99,-6.122
2,0.38,-2.815
3,0.00,-6.621
4,0.00,-2.978
5,0.00,-4.070
6,0.00,-3.340
7,0.00,-4.830
8,0.00,-1.228
9,0.00,-5.969
10,0.00,-3.528
11,11.42,-10.098
12,0.00,-5.252